1.
The following is a DFT calculation (PBE+U) of a relaxed Cs2LiMnO4 crystal.

Values from the calculation:
Size of the total moment: 4.00 μB per cell
Total energy: -86.47 eV for the cell shown
E above lowest polymorph: 0.000 eV/f.u.

abc: 6.8925 6.8925 8.3106
angles: 90.00 90.00 127.69
Last column: nearest neighbours and their distance in Å.
Element x y z (fractional)
Cs 0.0734 0.9266 0.5000  6 O 3.11-3.20
Cs 0.3935 0.6065 0.3650  6 O 3.13-3.22, 1 Li 3.28
Cs 0.6065 0.3935 0.8650  6 O 3.13-3.22, 1 Li 3.28
Cs 0.9266 0.0734 0.0000  6 O 3.11-3.20
Li 0.2080 0.7920 0.0834  4 O 1.96-2.04
Li 0.7920 0.2080 0.5834  4 O 1.96-2.04
Mn 0.3015 0.6985 0.8024  4 O 1.72-1.74
Mn 0.6985 0.3015 0.3024  4 O 1.72-1.74
O 0.1024 0.4290 0.6997  1 Mn 1.72
O 0.1647 0.8353 0.8493  1 Mn 1.74
O 0.3607 0.6393 0.9912  1 Mn 1.73
O 0.4290 0.1024 0.1997  1 Mn 1.72
O 0.5710 0.8976 0.6997  1 Mn 1.72
O 0.6393 0.3607 0.4912  1 Mn 1.73
O 0.8353 0.1647 0.3493  1 Mn 1.74
O 0.8976 0.5710 0.1997  1 Mn 1.72

=====

2.
The following is a DFT calculation (PBE+U) of a relaxed Cs2LiMnO4 crystal.

Values from the calculation:
Size of the total moment: 4.00 μB per cell
Total energy: -85.80 eV for the cell shown
E above lowest polymorph: 0.332 eV/f.u.

abc: 12.4753 11.1081 6.6689
angles: 85.26 62.54 32.19
Last column: nearest neighbours and their distance in Å.
Element x y z (fractional)
Cs 0.0475 0.0475 0.7025  8 O 3.21-3.47
Cs 0.2975 0.2975 0.9525  8 O 3.21-3.47
Cs 0.7025 0.7025 0.0475  8 O 3.21-3.47
Cs 0.9525 0.9525 0.2975  8 O 3.21-3.47
Li 0.1250 0.1250 0.1250  4 O 1.96
Li 0.8750 0.8750 0.8750  4 O 1.96
Mn 0.3750 0.3750 0.3750  4 O 1.73
Mn 0.6250 0.6250 0.6250  4 O 1.73
O 0.0374 0.6258 0.5541  1 Mn 1.73
O 0.2827 0.5541 0.6258  1 Mn 1.73
O 0.3742 0.9626 0.7173  1 Mn 1.73
O 0.4459 0.7173 0.9626  1 Mn 1.73
O 0.5541 0.2827 0.0374  1 Mn 1.73
O 0.6258 0.0374 0.2827  1 Mn 1.73
O 0.7173 0.4459 0.3742  1 Mn 1.73
O 0.9626 0.3742 0.4459  1 Mn 1.73

=====

| no. | N(E_F) (states/eV/f.u.) |
| --- | --- |
| 1 | 0.0 |
| 2 | 0.0 |